The following is a GGA-PBE calculation of a geometry-optimized LiTb2Cu9 structure, from Alexandria.

Unit cell a=5.1010 b=5.1010 c=24.7458 alpha=90.00 beta=90.00 gamma=120.00
Space group R-3m (No. 166, hexagonal axes)
Asymmetric unit:
Li 0.0000 0.0000 0.0000 (multiplicity 3)
Tb 0.0000 0.0000 0.1362 (multiplicity 6)
Cu 0.0000 0.0000 0.3330 (multiplicity 6)
Cu 0.0000 0.0000 0.5000 (multiplicity 3)
Cu 0.0017 0.5009 0.9188 (multiplicity 18)

## Properties
volume: 15.5 Å³/atom
raw total energy: -4.105 eV per atom